LiY3Np3S8 after structural relaxation. Source: the Alexandria database, functional PBE.

- Size of the total moment: 8.38 μB/cell
- Crystal system: monoclinic
- Uncorrected formation energy: -1.647 eV per atom
- Theoretical density: 6.16 Mg/m³

Lattice parameters (Å, degrees): 13.490 7.792 7.787 90.00 125.17 90.00
Space group C2/m (No. 12)
Asymmetric unit:
1 Li 0.000 0.000 0.000
2 Y 0.000 0.000 0.500
3 Y 0.250 0.250 0.500
4 Np 0.000 0.500 0.000
5 Np 0.250 0.250 0.000
6 S 0.001 0.245 0.246
7 S 0.246 0.000 0.244
8 S 0.249 0.000 0.749

LiY2NpS6 after structural relaxation. Source: the Alexandria database, functional PBE.

- Size of the total moment: 6.00 μB/cell
- Crystal system: trigonal
- Uncorrected formation energy: -1.573 eV per atom
- Theoretical density: 4.19 Mg/m³

Lattice parameters (Å, degrees): 6.7941 6.7941 18.2605 90.00 90.00 120.00
Space group R3 (No. 146, hexagonal axes)
Asymmetric unit:
1 Li 0.0000 0.0000 0.0000
2 Y 0.0000 0.0000 0.2016
3 Y 0.0000 0.0000 0.7102
4 Np 0.0000 0.0000 0.5120
5 S 0.0061 0.3003 0.6031
6 S 0.0109 0.6384 0.7696

LiYNpS4 after structural relaxation. Source: the Alexandria database, functional PBE.

- Size of the total moment: 12.00 μB/cell
- Crystal system: orthorhombic
- Uncorrected formation energy: -1.576 eV per atom
- Theoretical density: 4.34 Mg/m³

Lattice parameters (Å, degrees): 7.891 8.006 11.164 90.00 90.00 90.00
Space group Imma (No. 74)
Asymmetric unit:
1 Li 0.000 0.250 0.133
2 Y 0.250 0.250 0.750
3 Np 0.000 0.000 0.500
4 S 0.000 0.013 0.740
5 S 0.231 0.250 0.504

LiYNp2S4 after structural relaxation. Source: the Alexandria database, functional PBE.

- Size of the total moment: 0.11 μB/cell
- Crystal system: monoclinic
- Uncorrected formation energy: -1.508 eV per atom
- Theoretical density: 6.93 Mg/m³

Lattice parameters (Å, degrees): 6.742 3.893 6.777 90.00 109.81 90.00
Space group P2/m (No. 10)
Asymmetric unit:
1 Li 0.000 0.000 0.000
2 Y 0.000 0.500 0.500
3 Np 0.500 0.000 0.500
4 Np 0.500 0.500 0.000
5 S 0.243 0.500 0.245
6 S 0.246 0.000 0.755

Q: Which of these has the highest size of the total moment?
A: LiYNpS4

Q: The lowest uncorrected formation energy belongs to which entry?
A: LiY3Np3S8